Record 1
Material: Co2OsAu
Method: DFT, PBE-GGA
State: optimized geometry

The structure in POSCAR format:
```
Co2OsAu
1.0
4.5951 0.0036 -0.0054
-1.2995 4.4075 -0.0054
0.0031 0.0041 2.6703
Au Os Co
1 1 2
Direct
0.0000 0.5000 0.5000 Au
0.5000 0.0000 0.5000 Os
0.5000 0.5000 0.0000 Co
0.0000 0.0000 0.0000 Co
```

Theoretical density   15504 kg/m3
Energy of formation from the pure elements   1.46 eV/f.u.

---

Record 2
Material: Co2OsAu
Method: DFT, PBE-GGA
State: optimized geometry

The structure in POSCAR format:
```
Co2OsAu
1.0
-2.5367 -0.4122 0.7331
0.4659 -3.6659 -0.4494
1.5842 -0.4403 5.2342
Co Os Au
2 1 1
Direct
0.0000 0.0000 0.0199 Co
0.5000 0.5000 0.2613 Co
0.0000 0.0000 0.4551 Os
0.5000 0.5000 0.7637 Au
```

Theoretical density   15366 kg/m3
Energy of formation from the pure elements   1.54 eV/f.u.

---

Record 3
Material: Co2OsAu
Method: DFT, PBE-GGA
State: optimized geometry

The structure in POSCAR format:
```
Co2OsAu
1.0
-1.9325 0.7330 3.9860
-2.4758 -3.6579 0.8067
4.3295 0.2984 -1.1519
Co Os Au
2 1 1
Direct
0.5000 0.5000 0.0000 Co
0.0000 0.0000 0.0000 Co
0.2500 0.7500 0.5000 Os
0.7500 0.2500 0.5000 Au
```

Theoretical density   15832 kg/m3
Energy of formation from the pure elements   1.69 eV/f.u.

---

Record 4
Material: Co2OsAu
Method: DFT, PBE-GGA
State: optimized geometry

The structure in POSCAR format:
```
Co2OsAu
1.0
2.6560 -0.0116 0.0000
-1.2165 2.3610 0.0000
0.0000 0.0000 9.0683
Co Au Os
2 1 1
Direct
0.5000 0.5000 0.2385 Co
0.0000 0.0000 0.0242 Co
0.5000 0.5000 0.7640 Au
0.0000 0.0000 0.4732 Os
```

Theoretical density   14782 kg/m3
Energy of formation from the pure elements   1.90 eV/f.u.

---

Record 5
Material: Co2OsAu
Method: DFT, PBE-GGA
State: optimized geometry

The structure in POSCAR format:
```
Co2OsAu
1.0
4.6536 0.0023 -0.0016
3.8850 2.5618 -0.0016
0.8782 0.2637 4.5434
Os Co Au
1 2 1
Direct
0.4901 0.4901 0.5394 Os
0.7460 0.7460 0.7378 Co
0.0111 0.0111 0.9906 Co
0.2528 0.2528 0.2321 Au
```

Theoretical density   15494 kg/m3
Energy of formation from the pure elements   1.46 eV/f.u.

---

Record 6
Material: CoOs2Au
Method: DFT, PBE-GGA
State: optimized geometry

The structure in POSCAR format:
```
CoOs2Au
1.0
-0.1485 2.7404 -3.7994
-0.3570 0.1459 -4.6710
-4.7317 0.5158 -0.4037
Os Co Au
2 1 1
Direct
0.7435 0.7435 0.7906 Os
0.9986 0.9986 0.9869 Os
0.2561 0.2561 0.2388 Co
0.5018 0.5018 0.4837 Au
```

Theoretical density   18251 kg/m3
Energy of formation from the pure elements   1.74 eV/f.u.

---

Record 7
Material: CoOs2Au
Method: DFT, PBE-GGA
State: optimized geometry

The structure in POSCAR format:
```
CoOs2Au
1.0
-2.2679 1.4469 0.2454
0.0567 -1.9951 -1.8202
-3.1109 -5.9696 6.4466
Os Co Au
2 1 1
Direct
0.5000 0.5000 0.2326 Os
0.0000 0.0000 0.9912 Os
0.5000 0.5000 0.7635 Co
0.0000 0.0000 0.5127 Au
```

Theoretical density   17650 kg/m3
Energy of formation from the pure elements   2.29 eV/f.u.

---

Record 8
Material: Co2OsAu
Method: DFT, PBE-GGA
State: optimized geometry

The structure in POSCAR format:
```
Co2OsAu
1.0
-6.1939 -6.3614 -0.4943
-4.0425 -7.9205 -0.0109
-5.3748 -6.7829 2.0444
Co Os Au
2 1 1
Direct
0.0083 0.0083 0.0083 Co
0.7470 0.7470 0.7470 Co
0.4908 0.4908 0.4908 Os
0.2539 0.2539 0.2539 Au
```

Theoretical density   15167 kg/m3
Energy of formation from the pure elements   1.30 eV/f.u.